First-principles (GGA-PBE) data for an optimized crystal structure of LaPrB2Pd6Pt2, as listed in OQMD via LeMat-Bulk.

Properties
- energy above the most stable polymorph in this dataset (eV/atom) = 0.0120
- magnetization (μB per formula unit) = 0.004
- VASP energy (eV per formula unit) = -74.1

The structure in POSCAR format:
```
LaPrB2Pd6Pt2
1.0
5.5099 0.0000 0.0000
-2.7549 4.7717 0.0000
0.0000 0.0000 7.6712
La Pr B Pd Pt
1 1 2 6 2
direct
0.0000 0.0000 0.0000 La
0.0000 0.0000 0.5000 Pr
0.3333 0.6667 0.0000 B
0.6667 0.3333 0.0000 B
0.0000 0.5000 0.1963 Pd
0.0000 0.5000 0.8037 Pd
0.5000 0.0000 0.1963 Pd
0.5000 0.0000 0.8037 Pd
0.5000 0.5000 0.1963 Pd
0.5000 0.5000 0.8037 Pd
0.3333 0.6667 0.5000 Pt
0.6667 0.3333 0.5000 Pt
```

***

First-principles (GGA-PBE) data for an optimized crystal structure of SrTmAsO, as listed in OQMD via LeMat-Bulk.

Properties
- energy above the most stable polymorph in this dataset (eV/atom) = 0.0000
- magnetization (μB per formula unit) = 0.001
- VASP energy (eV per formula unit) = -24.2

The structure in POSCAR format:
```
SrTmAsO
1.0
4.6303 0.0000 0.0000
0.0000 7.1903 0.0000
0.0000 0.0000 6.4099
Sr Tm As O
2 2 2 2
direct
0.0000 0.2050 0.0000 Sr
0.0000 0.7950 0.5000 Sr
0.5000 0.3900 0.6060 Tm
0.5000 0.6100 0.1060 Tm
0.0000 0.2251 0.4809 As
0.0000 0.7749 0.9809 As
0.5000 0.3566 0.9375 O
0.5000 0.6434 0.4375 O
```